1.
# RbSr2MnV PBE relaxed
data_RbSr2MnV
_space_group_name_H-M_alt 'P 4/m m m'
_space_group_IT_number 123
_space_group_name_Hall '-P 4 2'
_cell_length_a 5.931
_cell_length_b 5.931
_cell_length_c 6.195
_cell_angle_alpha 90.00
_cell_angle_beta 90.00
_cell_angle_gamma 90.00
loop_
_atom_site_label
_atom_site_fract_x
_atom_site_fract_y
_atom_site_fract_z
Rb1 0.000 0.000 0.000
Sr1 0.000 0.500 0.500
Mn1 0.500 0.500 0.000
V1 0.000 0.000 0.500
# Calculated total energy ... -3.046 eV/atom
# Formation energy ... 1.477 eV per atom
# N(E_F) ... 1.879 states/eV/atom

2.
# RbTa3Mn PBE relaxed
data_RbTa3Mn
_space_group_name_H-M_alt 'P m -3 m'
_space_group_IT_number 221
_space_group_name_Hall '-P 4 2 3'
_cell_length_a 4.724
_cell_length_b 4.724
_cell_length_c 4.724
_cell_angle_alpha 90.00
_cell_angle_beta 90.00
_cell_angle_gamma 90.00
loop_
_atom_site_label
_atom_site_fract_x
_atom_site_fract_y
_atom_site_fract_z
Rb1 0.000 0.000 0.000
Ta1 0.000 0.000 0.500
Mn1 0.500 0.500 0.500
# E above lowest polymorph ... 11.02 eV per formula unit
# Calculated total energy ... -5.560 eV/atom
# Formation energy ... 3.579 eV per atom
# N(E_F) ... 2.573 states/eV/atom

3.
# RbTaMn2 PBE relaxed
data_RbTaMn2
_space_group_name_H-M_alt 'F m -3 m'
_space_group_IT_number 225
_space_group_name_Hall '-F 4 2 3'
_cell_length_a 6.496
_cell_length_b 6.496
_cell_length_c 6.496
_cell_angle_alpha 90.00
_cell_angle_beta 90.00
_cell_angle_gamma 90.00
loop_
_atom_site_label
_atom_site_fract_x
_atom_site_fract_y
_atom_site_fract_z
Rb1 0.000 0.000 0.000
Ta1 0.000 0.000 0.500
Mn1 0.250 0.250 0.250
# E above lowest polymorph ... 1.61 eV per formula unit
# Calculated total energy ... -5.970 eV/atom
# Formation energy ... 1.820 eV per atom
# N(E_F) ... 1.701 states/eV/atom